A plane-wave DFT calculation with GGA-PBE was carried out for crystalline Sr3Li4Pt4 at its relaxed geometry.

Output
**Total energy**: -42.7 eV/cell
**Total magnetization**: 0.0 μB per cell
**Energy of formation**: -5.83 eV/f.u.
**Offset from the most stable computed form**: 72 meV per atom

```
Sr3Li4Pt4
1.0
-6.0422 -1.5841 2.4821
2.5543 -5.3081 -3.2370
4.1022 1.7430 5.0312
Sr Li Pt
3 4 4
direct
0.5000 0.5000 0.0000 Sr
0.5000 0.0000 0.5000 Sr
0.0000 0.5000 0.5000 Sr
0.0000 0.2464 0.0000 Li
0.0000 0.0000 0.2464 Li
0.2464 0.0000 0.0000 Li
0.7536 0.7536 0.7536 Li
0.0000 0.6111 0.0000 Pt
0.6111 0.0000 0.0000 Pt
0.0000 0.0000 0.6111 Pt
0.3889 0.3889 0.3889 Pt
```